Entry 1:
Compound: La2HoScAs4
Source: Alexandria
Functional: PBE
Structure: optimized geometry

The energy of formation comes out at -1477 meV per atom. Its volume is 207.72 Å³/cell. As for the theoretical density: 6294 kg/m3.

The space group is P2/m (No. 10) and the conventional cell measures 7.234, 4.197 and 7.260 Å, with angles of 90.00, 109.55 and 90.00 degrees. Symmetry generates all atoms from La at (0.000, 0.000, 0.000), La at (0.000, 0.500, 0.500), Ho at (0.500, 0.000, 0.500), Sc at (0.500, 0.500, 0.000), As at (0.269, 0.500, 0.251) and As at (0.273, 0.000, 0.763).

=====

Entry 2:
Compound: Cs6Br2Cl2O
Source: Alexandria
Functional: PBE
Structure: optimized geometry

Its volume is 1046.49 Å³/cell. The value obtained for the energy relative to the elements, uncorrected is -1.616 eV per atom. As for the theoretical density: 3314 kg/m3.

The space group is C2/m (No. 12) and the conventional cell measures 8.742, 14.384 and 8.797 Å, with angles of 90.00, 108.90 and 90.00 degrees. Symmetry generates all atoms from Cs at (0.198, 0.000, 0.303), Cs at (0.213, 0.153, 0.711), Br at (0.000, 0.178, 0.000), Cl at (0.000, 0.338, 0.500) and O at (0.000, 0.000, 0.500).

=====

Entry 3:
Compound: TmGa2Ag6
Source: Alexandria
Functional: PBE
Structure: optimized geometry

The energy of formation comes out at -105 meV per atom. Its volume is 677.37 Å³/cell. As for the theoretical density: 9370 kg/m3.

The space group is C2/c (No. 15) and the conventional cell measures 11.187, 9.679 and 7.354 Å, with angles of 90.00, 121.72 and 90.00 degrees. Symmetry generates all atoms from Tm at (0.000, 0.105, 0.250), Ga at (0.218, 0.089, 0.134), Ag at (0.066, 0.362, 0.983), Ag at (0.142, 0.162, 0.730) and Ag at (0.160, 0.372, 0.438).

=====

Entry 4:
Compound: Zn12Cu6Pd
Source: Alexandria
Functional: PBE
Structure: optimized geometry

As for the distance to the lowest polymorph of the same formula: 0.000 eV/f.u. The energy of formation comes out at -127 meV per atom. Its volume is 774.83 Å³/cell. As for the theoretical density: 8182 kg/m3.

The space group is R-3 (No. 148, hexagonal axes) and the conventional cell measures 11.6230, 11.6230 and 6.6227 Å, with angles of 90.00, 90.00 and 120.00 degrees. Symmetry generates all atoms from Zn at (0.0149, 0.1429, 0.1645), Zn at (0.0664, 0.5614, 0.1715), Cu at (0.0341, 0.2776, 0.8305) and Pd at (0.0000, 0.0000, 0.5000).

=====

Entry 5:
Compound: HfRe3Pb
Source: Alexandria
Functional: PBE
Structure: optimized geometry

As for the distance to the lowest polymorph of the same formula: 2.046 eV/f.u. The energy of formation comes out at 2742 meV per atom. Its volume is 116.23 Å³/cell. As for the theoretical density: 13491 kg/m3.

The space group is Pm-3m (No. 221) and the conventional cell measures 4.880, 4.880 and 4.880 Å, with angles of 90.00, 90.00 and 90.00 degrees. Symmetry generates all atoms from Hf at (0.000, 0.000, 0.000), Re at (0.000, 0.500, 0.500) and Pb at (0.500, 0.500, 0.500).

=====

Entry 6:
Compound: CsTaCu3
Source: Alexandria
Functional: PBE
Structure: optimized geometry

As for the distance to the lowest polymorph of the same formula: 6.952 eV/f.u. The energy of formation comes out at 2488 meV per atom. Its volume is 126.92 Å³/cell. As for the theoretical density: 6601 kg/m3.

The space group is Pm-3m (No. 221) and the conventional cell measures 5.025, 5.025 and 5.025 Å, with angles of 90.00, 90.00 and 90.00 degrees. Symmetry generates all atoms from Cs at (0.000, 0.000, 0.000), Ta at (0.500, 0.500, 0.500) and Cu at (0.000, 0.000, 0.500).

=====

Entry 7:
Compound: BaMg2W
Source: Alexandria
Functional: PBE
Structure: optimized geometry

As for the distance to the lowest polymorph of the same formula: 1.109 eV/f.u. The energy of formation comes out at 895 meV per atom. Its volume is 198.63 Å³/cell. As for the theoretical density: 6183 kg/m3.

The space group is Imm2 (No. 44) and the conventional cell measures 3.075, 5.693 and 11.346 Å, with angles of 90.00, 90.00 and 90.00 degrees. Symmetry generates all atoms from Ba at (0.000, 0.000, 0.000), Mg at (0.000, 0.000, 0.460), Mg at (0.000, 0.500, 0.214) and W at (0.000, 0.500, 0.753).

=====

Entry 8:
Compound: LaCoRh2
Source: Alexandria
Functional: PBE
Structure: optimized geometry

As for the distance to the lowest polymorph of the same formula: 0.659 eV/f.u. The energy of formation comes out at -90 meV per atom. Its volume is 138.07 Å³/cell. As for the theoretical density: 9709 kg/m3.

The space group is I4/mmm (No. 139) and the conventional cell measures 4.245, 4.245 and 7.661 Å, with angles of 90.00, 90.00 and 90.00 degrees. Symmetry generates all atoms from La at (0.000, 0.000, 0.000), Co at (0.000, 0.000, 0.500) and Rh at (0.000, 0.500, 0.250).

=====

Entry 9:
Compound: Fe2SiPb
Source: Alexandria
Functional: PBE
Structure: optimized geometry

As for the distance to the lowest polymorph of the same formula: 0.150 eV/f.u. Its volume is 63.06 Å³/cell. The value obtained for the energy relative to the elements, uncorrected is 0.192 eV per atom. As for the theoretical density: 9137 kg/m3.

The space group is P2/m (No. 10) and the conventional cell measures 3.050, 3.015 and 6.980 Å, with angles of 90.00, 100.66 and 90.00 degrees. Symmetry generates all atoms from Fe at (0.069, 0.000, 0.170), Si at (0.500, 0.500, 0.000) and Pb at (0.500, 0.500, 0.500).

=====

Entry 10:
Compound: Ac7Rh2Pb3
Source: Alexandria
Functional: PBE
Structure: optimized geometry

The energy of formation comes out at -441 meV per atom. Its volume is 897.93 Å³/cell. As for the theoretical density: 8937 kg/m3.

The space group is Cmmm (No. 65) and the conventional cell measures 5.775, 27.940 and 5.565 Å, with angles of 90.00, 90.00 and 90.00 degrees. Symmetry generates all atoms from Ac at (0.000, 0.000, 0.000), Ac at (0.000, 0.098, 0.500), Ac at (0.000, 0.211, 0.000), Ac at (0.000, 0.392, 0.000), Rh at (0.000, 0.105, 0.000), Pb at (0.000, 0.308, 0.500) and Pb at (0.000, 0.500, 0.500).

=====

Entry 11:
Compound: CaPmTe2O8
Source: Alexandria
Functional: PBE
Structure: optimized geometry

Its volume is 388.68 Å³/cell. The value obtained for the energy relative to the elements, uncorrected is -1.786 eV per atom. As for the theoretical density: 4856 kg/m3.

The space group is I-4m2 (No. 119) and the conventional cell measures 7.529, 7.529 and 6.857 Å, with angles of 90.00, 90.00 and 90.00 degrees. Symmetry generates all atoms from Ca at (0.000, 0.000, 0.000), Pm at (0.000, 0.500, 0.250), Te at (0.000, 0.000, 0.500), Te at (0.000, 0.500, 0.750), O at (0.000, 0.188, 0.314) and O at (0.000, 0.317, 0.936).

=====

Entry 12:
Compound: Dy2YTc
Source: Alexandria
Functional: PBE
Structure: optimized geometry

As for the distance to the lowest polymorph of the same formula: 0.501 eV/f.u. The energy of formation comes out at 26 meV per atom. Its volume is 106.54 Å³/cell. As for the theoretical density: 7979 kg/m3.

The space group is P4/mmm (No. 123) and the conventional cell measures 3.463, 3.463 and 8.882 Å, with angles of 90.00, 90.00 and 90.00 degrees. Symmetry generates all atoms from Dy at (0.000, 0.000, 0.185), Y at (0.500, 0.500, 0.500) and Tc at (0.500, 0.500, 0.000).

=====

Entry 13:
Compound: LaTbZnRh
Source: Alexandria
Functional: PBE
Structure: optimized geometry

As for the distance to the lowest polymorph of the same formula: 0.095 eV/f.u. The energy of formation comes out at -518 meV per atom. Its volume is 371.09 Å³/cell. As for the theoretical density: 8343 kg/m3.

The space group is F-43m (No. 216) and the conventional cell measures 7.186, 7.186 and 7.186 Å, with angles of 90.00, 90.00 and 90.00 degrees. Symmetry generates all atoms from La at (0.000, 0.000, 0.000), Tb at (0.000, 0.000, 0.500), Zn at (0.250, 0.250, 0.750) and Rh at (0.250, 0.250, 0.250).

=====

Entry 14:
Compound: AcAlZnIn
Source: Alexandria
Functional: PBE
Structure: optimized geometry

The energy of formation comes out at -135 meV per atom. Its volume is 405.08 Å³/cell. As for the theoretical density: 7120 kg/m3.

The space group is F-43m (No. 216) and the conventional cell measures 7.399, 7.399 and 7.399 Å, with angles of 90.00, 90.00 and 90.00 degrees. Symmetry generates all atoms from Ac at (0.000, 0.000, 0.000), Al at (0.250, 0.250, 0.750), Zn at (0.250, 0.250, 0.250) and In at (0.000, 0.000, 0.500).

=====

Entry 15:
Compound: LaZr2Cu2
Source: Alexandria
Functional: PBE
Structure: optimized geometry

As for the distance to the lowest polymorph of the same formula: 0.149 eV/f.u. The energy of formation comes out at 42 meV per atom. Its volume is 207.53 Å³/cell. As for the theoretical density: 7177 kg/m3.

The space group is P4/mbm (No. 127) and the conventional cell measures 7.841, 7.841 and 3.376 Å, with angles of 90.00, 90.00 and 90.00 degrees. Symmetry generates all atoms from La at (0.000, 0.000, 0.000), Zr at (0.167, 0.333, 0.500) and Cu at (0.118, 0.618, 0.000).

=====

Entry 16:
Compound: Sr2LiNi16
Source: Alexandria
Functional: PBE
Structure: optimized geometry

The energy of formation comes out at -21 meV per atom. Its volume is 755.91 Å³/cell. As for the theoretical density: 7389 kg/m3.

The space group is R3m (No. 160, hexagonal axes) and the conventional cell measures 8.4889, 8.4889 and 12.1125 Å, with angles of 90.00, 90.00 and 120.00 degrees. Symmetry generates all atoms from Sr at (0.0000, 0.0000, 0.0000), Sr at (0.0000, 0.0000, 0.3119), Li at (0.0000, 0.0000, 0.7543), Ni at (0.0000, 0.0000, 0.5627), Ni at (0.0002, 0.2872, 0.6566), Ni at (0.0050, 0.5025, 0.5006), Ni at (0.0067, 0.5034, 0.1561) and Ni at (0.1707, 0.3415, 0.1450).

=====

Entry 17:
Compound: LiAl7Cu5
Source: Alexandria
Functional: PBE
Structure: optimized geometry

The energy of formation comes out at -205 meV per atom. Its volume is 380.88 Å³/cell. As for the theoretical density: 4478 kg/m3.

The space group is Imm2 (No. 44) and the conventional cell measures 5.076, 8.694 and 8.631 Å, with angles of 90.00, 90.00 and 90.00 degrees. Symmetry generates all atoms from Li at (0.000, 0.000, 0.000), Al at (0.000, 0.000, 0.339), Al at (0.000, 0.000, 0.649), Al at (0.000, 0.302, 0.509), Al at (0.000, 0.344, 0.994), Al at (0.000, 0.500, 0.270), Cu at (0.000, 0.500, 0.732) and Cu at (0.249, 0.254, 0.253).

=====

Entry 18:
Compound: CeSm2TlN
Source: Alexandria
Functional: PBE
Structure: optimized geometry

Its volume is 121.39 Å³/cell. The value obtained for the energy relative to the elements, uncorrected is -0.810 eV per atom. As for the theoretical density: 9018 kg/m3.

The space group is P4/mmm (No. 123) and the conventional cell measures 5.000, 5.000 and 4.855 Å, with angles of 90.00, 90.00 and 90.00 degrees. Symmetry generates all atoms from Ce at (0.000, 0.000, 0.000), Sm at (0.000, 0.500, 0.500), Tl at (0.500, 0.500, 0.000) and N at (0.000, 0.000, 0.500).

=====

Entry 19:
Compound: Ti3GeOs
Source: Alexandria
Functional: PBE
Structure: optimized geometry

As for the distance to the lowest polymorph of the same formula: 0.000 eV/f.u. The energy of formation comes out at 440 meV per atom. Its volume is 105.65 Å³/cell. As for the theoretical density: 6389 kg/m3.

The space group is Pm-3m (No. 221) and the conventional cell measures 4.727, 4.727 and 4.727 Å, with angles of 90.00, 90.00 and 90.00 degrees. Symmetry generates all atoms from Ti at (0.000, 0.000, 0.500), Ge at (0.500, 0.500, 0.500) and Os at (0.000, 0.000, 0.000).